Material: Na3AgCl
Method: DFT, PBE-GGA
State: relaxed

a = 5.3180 Å, b = 5.3180 Å, c = 5.3180 Å
α = 90.00°, β = 90.00°, γ = 90.00°
Closest atoms and distances in Å follow each position.
Space group Pm-3m (No. 221)
Symmetry-distinct sites (fractional):
Na1 0.0000 0.0000 0.5000 x3  2 Cl 2.66
Ag1 0.5000 0.5000 0.5000 x1  12 Na 3.76
Cl1 0.0000 0.0000 0.0000 x1  6 Na 2.66

## Properties
The calculation puts the formation energy (no corrections) at -0.521 eV per atom. For the energy, the calculation gives -2.252 eV/atom. The value obtained for the mass density is 2.3 g/cm3. As for the total moment: 0.00 μB/f.u. The value obtained for the offset from the most stable computed form is 0 meV/atom. The value obtained for the density of states at the Fermi level is 2.78 states/eV/f.u.